First-principles (PBE) data for a relaxed structure of AcPmGaIr, as listed in Alexandria.

Cell lengths 5.2500, 5.2500, 5.2500 Å; angles 60.00, 60.00, 60.00 degrees
Closest atoms and distances in Å follow each position.
Element x y z (fractional)
Ac (0.0000, 0.0000, 0.0000)  4 Ir 3.21, 4 Ga 3.21
Pm (0.5000, 0.5000, 0.5000)  4 Ga 3.21, 4 Ir 3.21
Ga (0.7500, 0.7500, 0.7500)  4 Pm 3.21, 4 Ac 3.21
Ir (0.2500, 0.2500, 0.2500)  4 Pm 3.21, 4 Ac 3.21

Results
Symmetry: F-43m, No. 216
Magnetic moment in Bohr magnetons per cell: 0.0
V in Å³ per atom: 25.581
E above lowest polymorph in meV per atom: 159

First-principles (PBE) data for a relaxed structure of TiBe, as listed in Alexandria.

Cell lengths 6.9746, 6.9746, 3.7208 Å; angles 90.00, 90.00, 120.00 degrees
Closest atoms and distances in Å follow each position.
Element x y z (fractional)
Ti (0.1675, 0.3350, 0.2500)  6 Be 2.48-2.56, 4 Ti 2.75
Ti (0.1675, 0.8325, 0.2500)  6 Be 2.48-2.56, 4 Ti 2.75
Ti (0.3350, 0.1675, 0.7500)  6 Be 2.48-2.56, 4 Ti 2.75
Ti (0.6650, 0.8325, 0.2500)  6 Be 2.48-2.56, 4 Ti 2.75
Ti (0.8325, 0.1675, 0.7500)  6 Be 2.48-2.56, 4 Ti 2.75
Ti (0.8325, 0.6650, 0.7500)  6 Be 2.48-2.56, 4 Ti 2.75
Be (0.1266, 0.5633, 0.7500)  4 Be 2.16-2.41
Be (0.4367, 0.5633, 0.7500)  4 Be 2.16-2.41
Be (0.4367, 0.8734, 0.7500)  4 Be 2.16-2.41
Be (0.5633, 0.1266, 0.2500)  4 Be 2.16-2.41
Be (0.5633, 0.4367, 0.2500)  4 Be 2.16-2.41
Be (0.8734, 0.4367, 0.2500)  4 Be 2.16-2.41

Results
Symmetry: P6_3/mmc, No. 194
Magnetic moment in Bohr magnetons per cell: 0.0
V in Å³ per atom: 13.062
E above lowest polymorph in meV per atom: 174

First-principles (PBE) data for a relaxed structure of K7Rb3, as listed in Alexandria.

Cell lengths 12.6190, 12.6190, 9.6233 Å; angles 101.84, 101.84, 31.17 degrees
Closest atoms and distances in Å follow each position.
Element x y z (fractional)
K (0.0000, 0.0000, 0.0000)  4 Rb 4.73-4.81, 8 K 4.75-4.80
K (0.1993, 0.1993, 0.5990)  7 K 4.73-4.86, 5 Rb 4.74-4.86
K (0.3994, 0.3994, 0.6949)  8 K 4.70-4.81, 4 Rb 4.79
K (0.4028, 0.4028, 0.1968)  7 K 4.70-4.86, 5 Rb 4.76-4.84
K (0.5972, 0.5972, 0.8032)  7 K 4.70-4.86, 5 Rb 4.76-4.84
K (0.6006, 0.6006, 0.3051)  8 K 4.70-4.81, 4 Rb 4.79
K (0.8007, 0.8007, 0.4010)  7 K 4.73-4.86, 5 Rb 4.74-4.86
Rb (0.0000, 0.0000, 0.5000)  12 K 4.74-4.81
Rb (0.1990, 0.1990, 0.1043)  10 K 4.73-4.86, 2 Rb 4.88
Rb (0.8010, 0.8010, 0.8957)  10 K 4.73-4.86, 2 Rb 4.88

Results
Symmetry: C2/m, No. 12
Magnetic moment in Bohr magnetons per cell: 0.0
V in Å³ per atom: 77.502
E above lowest polymorph in meV per atom: 0

| no. | calculated formation energy (eV/atom) |
| --- | --- |
| 1 | -0.432 |
| 2 | 0.028 |
| 3 | 0.005 |